No. 1
Compound: SiB2AuN
Source: Alexandria
Functional: GGA-PBE
Structure: optimized geometry

Properties
Crystal system: tetragonal
Density of states at the Fermi level in states/eV/cell: 2.3
Uncorrected formation energy in eV per atom: 2.0495
Spin magnetization in μB per cell: 1.51

abc: 3.851 3.851 5.025
angles: 90.00 90.00 90.00
Space group P4/mmm (No. 123)
One atom of each set of equivalent atoms:
Si (0.000, 0.000, 0.000)
B (0.000, 0.500, 0.000)
Au (0.000, 0.000, 0.500)
N (0.500, 0.500, 0.500)

No. 2
Compound: TaBAu2N
Source: Alexandria
Functional: GGA-PBE
Structure: optimized geometry

Properties
Crystal system: tetragonal
Density of states at the Fermi level in states/eV/cell: 5.3
Uncorrected formation energy in eV per atom: 2.2837
Spin magnetization in μB per cell: 2.39

abc: 5.208 5.208 4.426
angles: 90.00 90.00 90.00
Space group P4/mmm (No. 123)
One atom of each set of equivalent atoms:
Ta (0.000, 0.000, 0.000)
B (0.000, 0.000, 0.500)
Au (0.000, 0.500, 0.000)
N (0.500, 0.500, 0.500)

No. 3
Compound: BTe2AuN
Source: Alexandria
Functional: GGA-PBE
Structure: optimized geometry

Properties
Polymorph energy (0 for the lowest one) in meV per atom: 1518.7
Crystal system: tetragonal
Density of states at the Fermi level in states/eV/cell: 4.2
Uncorrected formation energy in eV per atom: 1.7543
Spin magnetization in μB per cell: 0.23

abc: 5.747 5.747 3.724
angles: 90.00 90.00 90.00
Space group P4/mmm (No. 123)
One atom of each set of equivalent atoms:
B (0.000, 0.000, 0.000)
Te (0.000, 0.500, 0.500)
Au (0.500, 0.500, 0.500)
N (0.500, 0.500, 0.000)

No. 4
Compound: BTe2AuN
Source: Alexandria
Functional: GGA-PBE
Structure: optimized geometry

Properties
Polymorph energy (0 for the lowest one) in meV per atom: 0.0
Crystal system: tetragonal
Density of states at the Fermi level in states/eV/cell: 3.3
Uncorrected formation energy in eV per atom: 0.2356
Spin magnetization in μB per cell: 0.00

abc: 6.301 6.301 2.723
angles: 90.00 90.00 90.00
Space group P4/mmm (No. 123)
One atom of each set of equivalent atoms:
B (0.000, 0.000, 0.000)
Te (0.000, 0.500, 0.000)
Au (0.500, 0.500, 0.500)
N (0.000, 0.000, 0.500)

No. 5
Compound: NaB3Au
Source: Alexandria
Functional: GGA-PBE
Structure: optimized geometry

Properties
Polymorph energy (0 for the lowest one) in meV per atom: 1190.5
Crystal system: cubic
Density of states at the Fermi level in states/eV/cell: 2.8
Formation enthalpy at 0 K in eV per atom: 2.83
Spin magnetization in μB per cell: 0.00

abc: 4.377 4.377 4.377
angles: 90.00 90.00 90.00
Space group Pm-3m (No. 221)
One atom of each set of equivalent atoms:
Na (0.000, 0.000, 0.000)
B (0.000, 0.000, 0.500)
Au (0.500, 0.500, 0.500)

No. 6
Compound: NaBAu3
Source: Alexandria
Functional: GGA-PBE
Structure: optimized geometry

Properties
Crystal system: cubic
Density of states at the Fermi level in states/eV/cell: 2.0
Formation enthalpy at 0 K in eV per atom: 1.68
Spin magnetization in μB per cell: 0.00

abc: 5.021 5.021 5.021
angles: 90.00 90.00 90.00
Space group Pm-3m (No. 221)
One atom of each set of equivalent atoms:
Na (0.000, 0.000, 0.000)
B (0.500, 0.500, 0.500)
Au (0.000, 0.000, 0.500)

Look up the spin magnetization of the third one.
0.23 μB per cell